(1)
4
Lattice="3.183 0.000 0.000 0.000 3.183 0.000 0.000 0.000 8.104" Properties=species:S:1:pos:R:3 comment="TlCd2Ni (PBE-GGA, optimized geometry)" delta_e_f_kj_per_mol_atoms=16.8 dft_energy_ev_per_atom=-2.32 pbc="T T T"
Tl 0.000 0.000 0.000
Cd 0.000 0.000 4.786
Cd 1.592 1.592 2.539
Ni 1.592 1.592 6.350

(2)
14
Lattice="6.888 0.000 0.000 -3.444 5.965 0.000 0.000 0.000 8.439" Properties=species:S:1:pos:R:3 comment="Tb9Tl3N2 (PBE-GGA, optimized geometry)" e_form_raw_ev_per_atom=-0.696 dft_energy_ev_per_atom=-5.37 pbc="T T T"
Tb -1.722 2.982 0.000
Tb 0.000 2.033 5.667
Tb -1.684 4.949 5.667
Tb 1.760 1.016 2.772
Tb 3.444 0.000 0.000
Tb 1.722 2.982 0.000
Tb 1.684 4.949 5.667
Tb 5.127 1.016 2.772
Tb 3.444 3.932 2.772
Tl 0.000 0.000 0.000
Tl 0.000 3.977 2.815
Tl 3.444 1.988 5.624
N 0.000 3.977 7.034
N 3.444 1.988 1.405